Record 1
{
  "formula": "BeTlGaF6",
  "functional": "PBE",
  "state": "optimized geometry",
  "cell": [[4.966, 0.000, 0.000], [-2.483, 4.300, 0.000], [0.000, 0.000, 6.232]],
  "species": ["Be", "Tl", "Ga", "F", "F", "F", "F", "F", "F"],
  "fractional_positions": [[0.000, 0.000, 0.000], [0.333, 0.667, 0.500], [0.667, 0.333, 0.000], [0.313, 0.038, 0.835], [0.313, 0.275, 0.165], [0.725, 0.038, 0.165], [0.725, 0.687, 0.835], [0.962, 0.275, 0.835], [0.962, 0.687, 0.165]],
  "space_group": "No. 149",
  "formation_energy_uncorrected_ev_per_atom": -2.593,
  "density_g_cm3": 5.0,
  "dft_energy_ev_per_cell": -43.682
}

=====

Record 2
{
  "formula": "BeTlGa2F",
  "functional": "PBE",
  "state": "optimized geometry",
  "cell": [[5.760, 0.000, 0.000], [0.000, 5.760, 0.000], [0.000, 0.000, 3.102]],
  "species": ["Be", "Tl", "Ga", "Ga", "F"],
  "fractional_positions": [[0.000, 0.000, 0.000], [0.500, 0.500, 0.000], [0.000, 0.500, 0.500], [0.500, 0.000, 0.500], [0.000, 0.000, 0.500]],
  "space_group": "No. 123",
  "formation_energy_uncorrected_ev_per_atom": -0.304,
  "density_g_cm3": 6.0,
  "dft_energy_ev_per_cell": -15.536
}

=====

Record 3
{
  "formula": "YBe2GaF",
  "functional": "PBE",
  "state": "optimized geometry",
  "cell": [[4.032, 0.000, 0.000], [0.000, 4.032, 0.000], [0.000, 0.000, 5.737]],
  "species": ["Y", "Be", "Be", "Ga", "F"],
  "fractional_positions": [[0.000, 0.000, 0.000], [0.000, 0.500, 0.500], [0.500, 0.000, 0.500], [0.000, 0.000, 0.500], [0.500, 0.500, 0.000]],
  "space_group": "No. 123",
  "formation_energy_uncorrected_ev_per_atom": -0.271,
  "density_g_cm3": 3.5,
  "dft_energy_ev_per_cell": -20.169
}

=====

Record 4
{
  "formula": "BeZnGa2F",
  "functional": "PBE",
  "state": "optimized geometry",
  "cell": [[5.351, 0.000, 0.000], [0.000, 5.351, 0.000], [0.000, 0.000, 3.032]],
  "species": ["Be", "Zn", "Ga", "Ga", "F"],
  "fractional_positions": [[0.000, 0.000, 0.000], [0.500, 0.500, 0.000], [0.000, 0.500, 0.500], [0.500, 0.000, 0.500], [0.000, 0.000, 0.500]],
  "space_group": "No. 123",
  "formation_energy_uncorrected_ev_per_atom": -0.234,
  "density_g_cm3": 4.5,
  "dft_energy_ev_per_cell": -14.097
}